The following is a DFT calculation (PBE-GGA) of a relaxed structure of TiBr.

Computed properties:
**Energy relative to the elements, uncorrected**: -26.55 kJ per mole of atoms

a = 7.834 Å, b = 7.834 Å, c = 7.834 Å
α = 92.61°, β = 92.61°, γ = 155.34°
Fractional coordinates of all 8 atoms:
Ti (0.165, 0.304, 0.469)
Ti (0.304, 0.835, 0.139)
Ti (0.696, 0.165, 0.861)
Ti (0.835, 0.696, 0.531)
Br (0.062, 0.787, 0.848)
Br (0.213, 0.062, 0.275)
Br (0.787, 0.938, 0.725)
Br (0.938, 0.213, 0.152)



The following is a DFT calculation (PBE-GGA) of a relaxed structure of TiBr.

Computed properties:
**Energy relative to the elements, uncorrected**: -27.66 kJ per mole of atoms

a = 3.292 Å, b = 3.292 Å, c = 8.817 Å
α = 90.00°, β = 90.00°, γ = 120.00°
Fractional coordinates of all 4 atoms:
Ti (0.333, 0.667, 0.000)
Ti (0.667, 0.333, 0.500)
Br (0.333, 0.667, 0.298)
Br (0.667, 0.333, 0.798)



Number 1 is which compound?
TiBr



What is the energy relative to the elements, uncorrected in the second record?
-27.66 kJ per mole of atoms